DFT (GGA+U) results for a relaxed structure of TlZnWF2.

Values from the calculation:
SG: No. 123
volume: 120 Å³/cell
uncorrected energy: -3.009 eV/atom

Cell lengths 4.5962, 5.6688, 4.5962 Å; angles 90.00, 90.00, 90.00 degrees
Closest atoms and distances in Å follow each position.
Element x y z (fractional)
1 W 0.5000 0.5000 0.5000  4 Zn 3.25
2 F 0.0000 0.0000 0.5000  2 Tl 2.30
3 F 0.5000 0.0000 0.0000  2 Tl 2.30
4 Tl 0.0000 0.0000 0.0000  4 F 2.30
5 Zn 0.0000 0.5000 0.0000  2 Tl 2.83